Entry 1:
Below is crystalline ScTcHg2 at its relaxed geometry, with properties calculated at the PBE level.

The structure in CIF format:
```
data_ScTcHg2
_chemical_formula_sum 'Sc1 Tc1 Hg2'
_cell_length_a 4.160
_cell_length_b 4.160
_cell_length_c 4.352
_cell_angle_alpha 90.00
_cell_angle_beta 90.00
_cell_angle_gamma 90.00
_symmetry_space_group_name_H-M 'P 4/m m m'
_symmetry_Int_Tables_number 123
_symmetry_space_group_name_Hall '-P 4 2'
loop_
_atom_site_label
_atom_site_fract_x
_atom_site_fract_y
_atom_site_fract_z
Sc1 0.000 0.000 0.000
Tc1 0.500 0.500 0.000
Hg1 0.000 0.500 0.500
```

Properties
D(E_F) in states/eV/f.u.: 2.779
M_tot in μB/cell: 0.29
E_tot in eV/cell: -17.137


Entry 2:
Below is crystalline ScTcHg at its relaxed geometry, with properties calculated at the PBE level.

The structure in CIF format:
```
data_ScTcHg
_chemical_formula_sum 'Sc4 Tc4 Hg4'
_cell_length_a 6.449
_cell_length_b 6.449
_cell_length_c 6.449
_cell_angle_alpha 90.00
_cell_angle_beta 90.00
_cell_angle_gamma 90.00
_symmetry_space_group_name_H-M 'F -4 3 m'
_symmetry_Int_Tables_number 216
_symmetry_space_group_name_Hall 'F -4 2 3'
loop_
_atom_site_label
_atom_site_fract_x
_atom_site_fract_y
_atom_site_fract_z
Sc1 0.000 0.000 0.000
Tc1 0.250 0.250 0.250
Hg1 0.000 0.000 0.500
```

Properties
D(E_F) in states/eV/f.u.: 6.018
M_tot in μB/cell: 5.92
E_tot in eV/cell: -61.434


Entry 3:
Below is crystalline ScTcHg2 at its relaxed geometry, with properties calculated at the PBE level.

The structure in CIF format:
```
data_ScTcHg2
_chemical_formula_sum 'Sc3 Tc3 Hg6'
_cell_length_a 3.2202
_cell_length_b 3.2202
_cell_length_c 27.5769
_cell_angle_alpha 90.00
_cell_angle_beta 90.00
_cell_angle_gamma 120.00
_symmetry_space_group_name_H-M 'R 3 m'
_symmetry_Int_Tables_number 160
_symmetry_space_group_name_Hall 'R 3 -2"'
loop_
_atom_site_label
_atom_site_fract_x
_atom_site_fract_y
_atom_site_fract_z
Sc1 0.0000 0.0000 0.0000
Tc1 0.0000 0.0000 0.7366
Hg1 0.0000 0.0000 0.2444
Hg2 0.0000 0.0000 0.4845
```

Properties
D(E_F) in states/eV/f.u.: 4.466
M_tot in μB/cell: 1.28
E_tot in eV/cell: -50.011


Entry 4:
Below is crystalline ScTcHg2 at its relaxed geometry, with properties calculated at the PBE level.

The structure in CIF format:
```
data_ScTcHg2
_chemical_formula_sum 'Sc1 Tc1 Hg2'
_cell_length_a 3.526
_cell_length_b 3.526
_cell_length_c 6.277
_cell_angle_alpha 90.00
_cell_angle_beta 90.00
_cell_angle_gamma 90.00
_symmetry_space_group_name_H-M 'P 4 m m'
_symmetry_Int_Tables_number 99
loop_
_symmetry_equiv_pos_as_xyz
'x,y,z'
'-y,x,z'
'-x,-y,z'
'y,-x,z'
'-x,y,z'
'y,x,z'
'x,-y,z'
'-y,-x,z'
loop_
_atom_site_label
_atom_site_fract_x
_atom_site_fract_y
_atom_site_fract_z
Sc1 0.000 0.000 0.000
Tc1 0.500 0.500 0.206
Hg1 0.000 0.000 0.454
Hg2 0.500 0.500 0.725
```

Properties
D(E_F) in states/eV/f.u.: 4.553
M_tot in μB/cell: 0.00
E_tot in eV/cell: -16.963


Entry 5:
Below is crystalline ScTcHg at its relaxed geometry, with properties calculated at the PBE level.

The structure in CIF format:
```
data_ScTcHg
_chemical_formula_sum 'Sc2 Tc2 Hg2'
_cell_length_a 3.311
_cell_length_b 3.540
_cell_length_c 9.582
_cell_angle_alpha 90.00
_cell_angle_beta 90.00
_cell_angle_gamma 90.00
_symmetry_space_group_name_H-M 'I m m 2'
_symmetry_Int_Tables_number 44
loop_
_symmetry_equiv_pos_as_xyz
'x,y,z'
'-x,-y,z'
'-x,y,z'
'x,-y,z'
'x+1/2,y+1/2,z+1/2'
'-x+1/2,-y+1/2,z+1/2'
'-x+1/2,y+1/2,z+1/2'
'x+1/2,-y+1/2,z+1/2'
loop_
_atom_site_label
_atom_site_fract_x
_atom_site_fract_y
_atom_site_fract_z
Sc1 0.000 0.000 0.000
Tc1 0.000 0.000 0.647
Hg1 0.000 0.000 0.314
```

Properties
D(E_F) in states/eV/f.u.: 4.014
M_tot in μB/cell: 1.32
E_tot in eV/cell: -33.593


Entry 6:
Below is crystalline ScTcHg2 at its relaxed geometry, with properties calculated at the PBE level.

The structure in CIF format:
```
data_ScTcHg2
_chemical_formula_sum 'Sc1 Tc1 Hg2'
_cell_length_a 3.131
_cell_length_b 3.131
_cell_length_c 7.916
_cell_angle_alpha 90.00
_cell_angle_beta 90.00
_cell_angle_gamma 90.00
_symmetry_space_group_name_H-M 'P 4/m m m'
_symmetry_Int_Tables_number 123
_symmetry_space_group_name_Hall '-P 4 2'
loop_
_atom_site_label
_atom_site_fract_x
_atom_site_fract_y
_atom_site_fract_z
Sc1 0.000 0.000 0.000
Tc1 0.000 0.000 0.500
Hg1 0.500 0.500 0.261
```

Properties
D(E_F) in states/eV/f.u.: 3.661
M_tot in μB/cell: 1.57
E_tot in eV/cell: -16.402


Entry 7:
Below is crystalline ScTc3Hg at its relaxed geometry, with properties calculated at the PBE level.

The structure in CIF format:
```
data_ScTc3Hg
_chemical_formula_sum 'Sc1 Tc3 Hg1'
_cell_length_a 4.630
_cell_length_b 4.630
_cell_length_c 4.630
_cell_angle_alpha 90.00
_cell_angle_beta 90.00
_cell_angle_gamma 90.00
_symmetry_space_group_name_H-M 'P m -3 m'
_symmetry_Int_Tables_number 221
_symmetry_space_group_name_Hall '-P 4 2 3'
loop_
_atom_site_label
_atom_site_fract_x
_atom_site_fract_y
_atom_site_fract_z
Sc1 0.000 0.000 0.000
Tc1 0.000 0.000 0.500
Hg1 0.500 0.500 0.500
```

Properties
D(E_F) in states/eV/f.u.: 5.923
M_tot in μB/cell: 2.35
E_tot in eV/cell: -29.042


Entry 8:
Below is crystalline Sc4TcHg3 at its relaxed geometry, with properties calculated at the PBE level.

The structure in CIF format:
```
data_Sc4TcHg3
_chemical_formula_sum 'Sc4 Tc1 Hg3'
_cell_length_a 3.377
_cell_length_b 3.377
_cell_length_c 14.423
_cell_angle_alpha 90.00
_cell_angle_beta 90.00
_cell_angle_gamma 90.00
_symmetry_space_group_name_H-M 'P 4/m m m'
_symmetry_Int_Tables_number 123
_symmetry_space_group_name_Hall '-P 4 2'
loop_
_atom_site_label
_atom_site_fract_x
_atom_site_fract_y
_atom_site_fract_z
Sc1 0.000 0.000 0.104
Sc2 0.000 0.000 0.368
Tc1 0.500 0.500 0.000
Hg1 0.500 0.500 0.237
Hg2 0.500 0.500 0.500
```

Properties
D(E_F) in states/eV/f.u.: 7.134
M_tot in μB/cell: 0.16
E_tot in eV/cell: -39.775